Record 1
RbPuCd2: relaxed, GGA-PBE.

The structure in CIF format:
```
data_RbPuCd2
_symmetry_space_group_name_H-M 'P 4/m m m'
_symmetry_Int_Tables_number 123
_symmetry_space_group_name_Hall '-P 4 2'
_cell_length_a 3.8186
_cell_length_b 3.8186
_cell_length_c 9.1422
_cell_angle_alpha 90.00
_cell_angle_beta 90.00
_cell_angle_gamma 90.00
loop_
_atom_site_label
_atom_site_type_symbol
_atom_site_fract_x
_atom_site_fract_y
_atom_site_fract_z
Rb1 Rb 0.0000 0.0000 0.0000
Pu1 Pu 0.0000 0.0000 0.5000
Cd1 Cd 0.5000 0.5000 0.2978
```

Computed properties:
**Formation enthalpy at 0 K**: 102 meV per atom


Record 2
RbPuCd17: relaxed, GGA-PBE.

The structure in CIF format:
```
data_RbPuCd17
_symmetry_space_group_name_H-M 'R 3 m'
_symmetry_Int_Tables_number 160
_symmetry_space_group_name_Hall 'R 3 -2"'
_cell_length_a 10.2703
_cell_length_b 10.2703
_cell_length_c 15.2571
_cell_angle_alpha 90.00
_cell_angle_beta 90.00
_cell_angle_gamma 120.00
loop_
_atom_site_label
_atom_site_type_symbol
_atom_site_fract_x
_atom_site_fract_y
_atom_site_fract_z
Rb1 Rb 0.0000 0.0000 0.0000
Pu1 Pu 0.0000 0.0000 0.3300
Cd1 Cd 0.0000 0.0000 0.5543
Cd2 Cd 0.0000 0.0000 0.7531
Cd3 Cd 0.0385 0.3683 0.3279
Cd4 Cd 0.1740 0.3479 0.1385
Cd5 Cd 0.1759 0.3518 0.4984
Cd6 Cd 0.1858 0.3716 0.8481
```

Computed properties:
**Formation enthalpy at 0 K**: -36 meV per atom


Record 3
RbPuCd: relaxed, GGA-PBE.

The structure in CIF format:
```
data_RbPuCd
_symmetry_space_group_name_H-M 'P 1'
_symmetry_Int_Tables_number 1
_cell_length_a 3.4456
_cell_length_b 6.7805
_cell_length_c 9.8672
_cell_angle_alpha 70.08
_cell_angle_beta 80.71
_cell_angle_gamma 75.29
loop_
_symmetry_equiv_pos_as_xyz
'x,y,z'
loop_
_atom_site_label
_atom_site_type_symbol
_atom_site_fract_x
_atom_site_fract_y
_atom_site_fract_z
Rb1 Rb 0.0000 0.0000 0.0000
Rb2 Rb 0.1720 0.3811 0.2598
Pu1 Pu 0.3396 0.5871 0.7715
Pu2 Pu 0.9662 0.4509 0.6447
Cd1 Cd 0.4003 0.8034 0.4064
Cd2 Cd 0.6890 0.0249 0.6199
```

Computed properties:
**Formation enthalpy at 0 K**: 310 meV per atom


Record 4
Rb3Pu3CdS8: relaxed, GGA-PBE.

The structure in CIF format:
```
data_Rb3Pu3CdS8
_symmetry_space_group_name_H-M 'C 1 2/m 1'
_symmetry_Int_Tables_number 12
_cell_length_a 14.1035
_cell_length_b 8.0623
_cell_length_c 9.0578
_cell_angle_alpha 90.00
_cell_angle_beta 121.30
_cell_angle_gamma 90.00
loop_
_symmetry_equiv_pos_as_xyz
'x,y,z'
'-x,-y,-z'
'-x,y,-z'
'x,-y,z'
'x+1/2,y+1/2,z'
'-x+1/2,-y+1/2,-z'
'-x+1/2,y+1/2,-z'
'x+1/2,-y+1/2,z'
loop_
_atom_site_label
_atom_site_type_symbol
_atom_site_fract_x
_atom_site_fract_y
_atom_site_fract_z
Rb1 Rb 0.0000 0.0000 0.0000
Rb2 Rb 0.2500 0.2500 0.0000
Pu1 Pu 0.0000 0.5000 0.5000
Pu2 Pu 0.2500 0.2500 0.5000
Cd1 Cd 0.0000 0.0000 0.5000
S1 S 0.0224 0.2543 0.3137
S2 S 0.2306 0.5000 0.6901
S3 S 0.2377 0.0000 0.6875
```

Computed properties:
**Formation energy without anion corrections**: -1.299 eV/atom


Record 5
Rb3Pu2CdS6: relaxed, GGA-PBE.

The structure in CIF format:
```
data_Rb3Pu2CdS6
_symmetry_space_group_name_H-M 'C 1 2/m 1'
_symmetry_Int_Tables_number 12
_cell_length_a 7.0830
_cell_length_b 12.2721
_cell_length_c 8.0014
_cell_angle_alpha 90.00
_cell_angle_beta 107.06
_cell_angle_gamma 90.00
loop_
_symmetry_equiv_pos_as_xyz
'x,y,z'
'-x,-y,-z'
'-x,y,-z'
'x,-y,z'
'x+1/2,y+1/2,z'
'-x+1/2,-y+1/2,-z'
'-x+1/2,y+1/2,-z'
'x+1/2,-y+1/2,z'
loop_
_atom_site_label
_atom_site_type_symbol
_atom_site_fract_x
_atom_site_fract_y
_atom_site_fract_z
Rb1 Rb 0.0000 0.0000 0.0000
Rb2 Rb 0.0000 0.3380 0.0000
Pu1 Pu 0.0000 0.1671 0.5000
Cd1 Cd 0.0000 0.5000 0.5000
S1 S 0.2215 0.0000 0.6897
S2 S 0.2353 0.3285 0.6920
```

Computed properties:
**Formation energy without anion corrections**: -1.297 eV/atom


Record 6
Rb4Pu3CdS8: relaxed, GGA-PBE.

The structure in CIF format:
```
data_Rb4Pu3CdS8
_symmetry_space_group_name_H-M 'C 1 2/m 1'
_symmetry_Int_Tables_number 12
_cell_length_a 14.3759
_cell_length_b 8.2180
_cell_length_c 9.0068
_cell_angle_alpha 90.00
_cell_angle_beta 122.10
_cell_angle_gamma 90.00
loop_
_symmetry_equiv_pos_as_xyz
'x,y,z'
'-x,-y,-z'
'-x,y,-z'
'x,-y,z'
'x+1/2,y+1/2,z'
'-x+1/2,-y+1/2,-z'
'-x+1/2,y+1/2,-z'
'x+1/2,-y+1/2,z'
loop_
_atom_site_label
_atom_site_type_symbol
_atom_site_fract_x
_atom_site_fract_y
_atom_site_fract_z
Rb1 Rb 0.0000 0.0000 0.0000
Rb2 Rb 0.0000 0.5000 0.0000
Rb3 Rb 0.2500 0.2500 0.0000
Pu1 Pu 0.0000 0.0000 0.5000
Pu2 Pu 0.2500 0.2500 0.5000
Cd1 Cd 0.0000 0.5000 0.5000
S1 S 0.0207 0.2472 0.3092
S2 S 0.2308 0.0000 0.6902
S3 S 0.2358 0.5000 0.6907
```

Computed properties:
**Formation energy without anion corrections**: -1.336 eV/atom


Q: Which calculated density values were calculated for the entries above? A: 6.9, 8.0, 7.0, 5.1, 5.2, 5.3, in g/cm3.
Q: Which N(E_F) values were calculated for the entries above? A: 2.288, 1.015, 1.471, 2.073, 1.493, 1.909, in states/eV per atom.